[1]
DFT (PBE) results for a relaxed NbCo3Cl crystal.

Geometry as CIF:
```
data_NbCo3Cl
_chemical_formula_sum 'Nb1 Co3 Cl1'
_cell_length_a 4.1022
_cell_length_b 4.1022
_cell_length_c 4.1022
_cell_angle_alpha 90.00
_cell_angle_beta 90.00
_cell_angle_gamma 90.00
_symmetry_space_group_name_H-M 'P m -3 m'
_symmetry_Int_Tables_number 221
_symmetry_space_group_name_Hall '-P 4 2 3'
loop_
_atom_site_label
_atom_site_type_symbol
_atom_site_fract_x
_atom_site_fract_y
_atom_site_fract_z
Nb1 Nb 0.0000 0.0000 0.0000
Co1 Co 0.0000 0.5000 0.5000
Cl1 Cl 0.5000 0.5000 0.5000
```

## Properties
Relative energy among the computed polymorphs = 0.000 eV per atom
Crystal system = cubic
DOS at the Fermi energy = 8.01 states/eV per cell

[2]
DFT (PBE) results for a relaxed Nb2Co2Cl crystal.

Geometry as CIF:
```
data_Nb2Co2Cl
_chemical_formula_sum 'Nb4 Co4 Cl2'
_cell_length_a 7.2670
_cell_length_b 7.2670
_cell_length_c 2.9456
_cell_angle_alpha 90.00
_cell_angle_beta 90.00
_cell_angle_gamma 90.00
_symmetry_space_group_name_H-M 'P 4/m b m'
_symmetry_Int_Tables_number 127
_symmetry_space_group_name_Hall '-P 4 2ab'
loop_
_atom_site_label
_atom_site_type_symbol
_atom_site_fract_x
_atom_site_fract_y
_atom_site_fract_z
Nb1 Nb 0.1559 0.3441 0.0000
Co1 Co 0.1299 0.6299 0.5000
Cl1 Cl 0.0000 0.0000 0.5000
```

## Properties
Relative energy among the computed polymorphs = 0.000 eV per atom
Crystal system = tetragonal
DOS at the Fermi energy = 11.53 states/eV per cell

[3]
DFT (PBE) results for a relaxed NbCoOs2Cl crystal.

Geometry as CIF:
```
data_NbCoOs2Cl
_chemical_formula_sum 'Nb1 Co1 Os2 Cl1'
_cell_length_a 4.8405
_cell_length_b 4.8405
_cell_length_c 4.7366
_cell_angle_alpha 90.00
_cell_angle_beta 90.00
_cell_angle_gamma 90.00
_symmetry_space_group_name_H-M 'P 4/m m m'
_symmetry_Int_Tables_number 123
_symmetry_space_group_name_Hall '-P 4 2'
loop_
_atom_site_label
_atom_site_type_symbol
_atom_site_fract_x
_atom_site_fract_y
_atom_site_fract_z
Nb1 Nb 0.0000 0.0000 0.0000
Co1 Co 0.0000 0.0000 0.5000
Os1 Os 0.0000 0.5000 0.0000
Cl1 Cl 0.5000 0.5000 0.5000
```

## Properties
Crystal system = tetragonal
DOS at the Fermi energy = 5.57 states/eV per cell

[4]
DFT (PBE) results for a relaxed NbCoP2Cl crystal.

Geometry as CIF:
```
data_NbCoP2Cl
_chemical_formula_sum 'Nb1 Co1 P2 Cl1'
_cell_length_a 4.5761
_cell_length_b 4.5761
_cell_length_c 3.9160
_cell_angle_alpha 90.00
_cell_angle_beta 90.00
_cell_angle_gamma 90.00
_symmetry_space_group_name_H-M 'P 4/m m m'
_symmetry_Int_Tables_number 123
_symmetry_space_group_name_Hall '-P 4 2'
loop_
_atom_site_label
_atom_site_type_symbol
_atom_site_fract_x
_atom_site_fract_y
_atom_site_fract_z
Nb1 Nb 0.0000 0.0000 0.0000
Co1 Co 0.5000 0.5000 0.0000
P1 P 0.0000 0.5000 0.5000
Cl1 Cl 0.5000 0.5000 0.5000
```

## Properties
Relative energy among the computed polymorphs = 0.572 eV per atom
Crystal system = tetragonal
DOS at the Fermi energy = 4.51 states/eV per cell

Number 1: total DFT energy (no corrections) -5.834 eV/atom. Number 2: total DFT energy (no corrections) -7.022 eV/atom. Number 3: total DFT energy (no corrections) -6.106 eV/atom. Number 4: total DFT energy (no corrections) -4.857 eV/atom.